A plane-wave DFT calculation with PBE was carried out for a relaxed structure of DyHoP.

The structure belongs to space group Imm2 (No. 44); the cell edges are 3.7641, 3.9017 and 23.5772 Å and the angles 90.00°, 90.00° and 90.00°. The distinct sites, in fractional coordinates, are Dy at (0.0000, 0.0000, 0.0000), Dy at (0.0000, 0.5000, 0.2816), Ho at (0.0000, 0.0000, 0.1568), Ho at (0.0000, 0.5000, 0.8719), P at (0.0000, 0.5000, 0.0799) and P at (0.0000, 0.5000, 0.7451).

For the calculated volume, the calculation gives 346.3 Å³/cell. The calculated density comes out at 6.9 g cm⁻³. As for the density of states at the Fermi level: 1.014 states/eV per atom. The value obtained for the polymorph energy (0 for the lowest one) is 39.9 kJ per mole of atoms. As for the formation energy: -1.66 eV/f.u. The total magnetization comes out at 1.88 μB per cell.